Material: YZr2FeF
Method: DFT, PBE with a Hubbard U
State: optimized geometry

Output
symmetry	P4/mmm
raw total energy	-0.2093	hartree per atom
total magnetic moment	0.00	μB/cell
volume	122.2	Å³/cell

Cell lengths 4.697, 5.541, 4.697 Å; angles 90.00, 90.00, 90.00 degrees
Atoms (fractional coordinates):
F1 0.500 0.500 0.500
Zr1 0.500 0.000 0.000
Fe1 0.000 0.000 0.000
Y1 0.000 0.500 0.000
Zr2 0.000 0.000 0.500